No. 1
5
Lattice="-2.226 2.299 6.205 2.226 -2.299 6.205 2.226 2.299 -6.205" Properties=species:S:1:pos:R:3 comment="AcHoAl2Ge, optimized geometry, DFT GGA-PBE" delta_e_f_mev_per_atom=-503 n_ef_per_ev_atom=0.37 m_tot_mub_per_fu=0.0 space_group="No. 44" pbc="T T T"
Ac 0.000 0.000 0.000
Ho 2.226 0.000 3.180
Al 0.000 0.000 7.559
Al 0.000 2.299 2.986
Ge 0.000 0.000 4.964


No. 2
6
Lattice="4.265 0.000 0.000 -2.132 3.693 0.000 0.000 0.000 8.906" Properties=species:S:1:pos:R:3 comment="AcHoAl2Ge2, optimized geometry, DFT GGA-PBE" delta_e_f_mev_per_atom=-586 n_ef_per_ev_atom=0.26 m_tot_mub_per_fu=0.0 space_group="No. 164" pbc="T T T"
Ac 0.000 0.000 0.000
Ho 0.000 0.000 4.453
Al 0.000 2.462 6.677
Al 2.132 1.231 2.229
Ge 0.000 2.462 2.632
Ge 2.132 1.231 6.274